(1)
5
Lattice="-0.729 -4.924 1.841 5.194 -0.962 -0.515 0.812 1.731 4.951" Properties=species:S:1:pos:R:3 comment="La3RuW | the Alexandria database | GGA-PBEsol | relaxed" magnetic_moment_mub_per_cell=0.2 density_g_cm3=7.79 total_energy_ev_per_atom=-6.90 formation_enthalpy_0k_ev_per_atom=1.11 pbc="T T T"
La 2.597 -0.481 -0.257
La -0.365 -2.462 0.921
La 0.406 0.866 2.475
Ru 2.638 -2.077 3.139
W 0.000 0.000 0.000

(2)
4
Lattice="-1.638 -2.516 0.772 3.718 -1.424 3.247 -3.081 4.335 1.364" Properties=species:S:1:pos:R:3 comment="LaRuW2 | the Alexandria database | GGA-PBEsol | relaxed" magnetic_moment_mub_per_cell=0.0 density_g_cm3=13.78 polymorph_energy_kj_per_mol_fu=77 total_energy_ev_per_atom=-10.09 formation_enthalpy_0k_ev_per_atom=0.70 pbc="T T T"
W 0.739 0.585 3.474
W -1.000 0.394 5.383
La -2.026 2.347 3.349
Ru -1.756 -0.173 1.935

(3)
3
Lattice="3.052 0.000 0.000 0.000 3.888 0.000 -1.526 -1.944 5.407" Properties=species:S:1:pos:R:3 comment="LaRuW | the Alexandria database | GGA-PBEsol | relaxed" magnetic_moment_mub_per_cell=0.0 density_g_cm3=10.97 total_energy_ev_per_atom=-9.35 formation_enthalpy_0k_ev_per_atom=0.42 pbc="T T T"
Ru 1.526 1.944 2.443
La 0.000 0.000 0.001
W 0.000 0.000 2.963

(4)
4
Lattice="2.840 0.000 0.000 -1.150 5.132 0.000 -0.845 -2.566 4.816" Properties=species:S:1:pos:R:3 comment="LaRuW2 | the Alexandria database | GGA-PBEsol | relaxed" magnetic_moment_mub_per_cell=0.0 density_g_cm3=14.38 polymorph_energy_kj_per_mol_fu=63 total_energy_ev_per_atom=-10.12 formation_enthalpy_0k_ev_per_atom=0.66 pbc="T T T"
La 1.420 0.000 0.000
W -0.422 -1.283 2.408
W 0.422 1.283 2.408
Ru -0.575 2.566 0.000

(5)
4
Lattice="3.254 0.000 0.000 0.000 3.254 0.000 0.000 0.000 7.304" Properties=species:S:1:pos:R:3 comment="LaRuW2 | the Alexandria database | GGA-PBEsol | relaxed" magnetic_moment_mub_per_cell=0.0 density_g_cm3=13.05 polymorph_energy_kj_per_mol_fu=44 total_energy_ev_per_atom=-10.17 formation_enthalpy_0k_ev_per_atom=0.61 pbc="T T T"
W 0.000 0.000 2.383
W 0.000 0.000 4.922
La 1.627 1.627 0.000
Ru 1.627 1.627 3.652

(6)
4
Lattice="-1.128 1.480 -2.834 4.139 -1.527 -2.445 -4.074 -4.660 1.216" Properties=species:S:1:pos:R:3 comment="La2RuW | the Alexandria database | GGA-PBEsol | relaxed" magnetic_moment_mub_per_cell=0.0 density_g_cm3=9.88 total_energy_ev_per_atom=-8.34 formation_enthalpy_0k_ev_per_atom=0.33 pbc="T T T"
W -2.109 -2.077 -2.273
Ru -2.338 -4.262 -1.295
La -0.088 -0.160 -0.049
La 0.903 -2.891 -1.869

(7)
4
Lattice="2.858 0.000 0.023 0.000 4.194 0.000 -0.888 0.000 6.233" Properties=species:S:1:pos:R:3 comment="LaRuW2 | the Alexandria database | GGA-PBEsol | relaxed" magnetic_moment_mub_per_cell=0.0 density_g_cm3=13.49 polymorph_energy_kj_per_mol_fu=0 total_energy_ev_per_atom=-10.28 formation_enthalpy_0k_ev_per_atom=0.50 pbc="T T T"
W 1.908 2.097 1.190
W 1.919 0.000 6.225
Ru 0.113 2.097 5.028
La 0.986 0.000 3.196

(8)
6
Lattice="-1.458 4.348 -2.703 1.460 0.587 -5.085 -3.635 -0.367 -3.872" Properties=species:S:1:pos:R:3 comment="LaYRu4 | the Alexandria database | GGA-PBEsol | relaxed" magnetic_moment_mub_per_cell=0.0 density_g_cm3=9.84 total_energy_ev_per_atom=-8.93 formation_enthalpy_0k_ev_per_atom=-0.12 pbc="T T T"
La 0.000 0.000 0.000
Ru -0.635 2.007 -6.912
Ru -3.176 1.532 -6.307
Ru -1.363 1.715 -4.376
Ru -2.090 3.883 -5.724
Y -2.724 3.426 -8.745

Which formula does entry 3 have? LaRuW